{"formula": "NaTbMnBr6", "functional": "PBE", "state": "relaxed", "e_tot_ev_per_fu": -38.07, "total_magnetization_mub_per_fu": 5.0, "lattice_angstrom": [[7.0557, 0.0000, 0.0000], [-3.5279, 6.1104, 0.0000], [0.0000, 0.0000, 13.4271]], "species": ["Na", "Na", "Tb", "Tb", "Mn", "Mn", "Br", "Br", "Br", "Br", "Br", "Br", "Br", "Br", "Br", "Br", "Br", "Br"], "frac_coords": [[0.0000, 0.0000, 0.0000], [0.0000, 0.0000, 0.5000], [0.3333, 0.6667, 0.2500], [0.6667, 0.3333, 0.7500], [0.6667, 0.3333, 0.2500], [0.3333, 0.6667, 0.7500], [0.6497, 0.6369, 0.1328], [0.9872, 0.3503, 0.1328], [0.3503, 0.9872, 0.6328], [0.0128, 0.6497, 0.8672], [0.3631, 0.3503, 0.3672], [0.9872, 0.6369, 0.3672], [0.6369, 0.9872, 0.8672], [0.6497, 0.0128, 0.3672], [0.0128, 0.3631, 0.6328], [0.3631, 0.0128, 0.1328], [0.6369, 0.6497, 0.6328], [0.3503, 0.3631, 0.8672]]}

{"formula": "NaTiMnBr2", "functional": "PBE", "state": "relaxed", "e_tot_ev_per_fu": -19.12, "total_magnetization_mub_per_fu": 1.5, "lattice_angstrom": [[-2.0056, 2.0924, -4.1913], [4.8909, -1.8023, -3.2401], [-2.3355, -4.3989, -1.0785]], "species": ["Na", "Mn", "Br", "Br", "Ti"], "frac_coords": [[0.0000, 0.5000, 0.0000], [0.0000, 0.0000, 0.0000], [0.0000, 0.0000, 0.5000], [0.5000, 0.0000, 0.0000], [0.5000, 0.5000, 0.5000]]}

{"formula": "Na2MnTlBr6", "functional": "PBE", "state": "relaxed", "e_tot_ev_per_fu": -34.45, "total_magnetization_mub_per_fu": 4.0, "lattice_angstrom": [[7.3841, 0.0018, 0.0013], [3.6936, 6.3930, -0.0002], [3.6932, 2.1310, 6.6878]], "species": ["Na", "Na", "Mn", "Tl", "Br", "Br", "Br", "Br", "Br", "Br"], "frac_coords": [[0.5227, 0.5229, 0.4313], [0.0081, 0.0082, 0.9760], [0.3274, 0.3273, 0.0181], [0.8167, 0.8167, 0.5499], [0.5563, 0.2384, 0.2324], [0.2386, 0.9730, 0.2323], [0.9731, 0.5561, 0.2323], [0.4015, 0.6882, 0.7808], [0.6880, 0.1293, 0.7812], [0.1293, 0.4016, 0.7810]]}

{"formula": "NaMn2TlBr8", "functional": "PBE", "state": "relaxed", "e_tot_ev_per_fu": -44.53, "total_magnetization_mub_per_fu": 8.0, "lattice_angstrom": [[6.9878, 0.0000, 0.0000], [-3.4940, 6.0516, 0.0000], [0.0000, 0.0000, 9.8207]], "species": ["Na", "Mn", "Mn", "Tl", "Br", "Br", "Br", "Br", "Br", "Br", "Br", "Br"], "frac_coords": [[0.0000, 0.0000, 0.5000], [0.6667, 0.3333, 0.2404], [0.3333, 0.6667, 0.7596], [0.0000, 0.0000, 0.0000], [0.3333, 0.6667, 0.9991], [0.3318, 0.3249, 0.3025], [0.6751, 0.0069, 0.3025], [0.6667, 0.3333, 0.0009], [0.3249, 0.9931, 0.6975], [0.6682, 0.6751, 0.6975], [0.0069, 0.3318, 0.6975], [0.9931, 0.6682, 0.3025]]}